# 1
Cs3NaCe2Se6 | GGA-PBE | optimized geometry

Geometry as POSCAR:
```
Cs3NaCe2Se6
1.0
3.8139 -6.6042 0.0000
3.8139 6.6042 0.0000
-2.5141 0.0000 8.2929
Cs Na Ce Se
3 1 2 6
Cartesian
0.0000 0.0000 0.0000
3.8139 2.0684 0.0000
3.8139 -2.0684 0.0000
2.5569 0.0000 4.1465
2.5569 4.3900 4.1465
2.5569 -4.3900 4.1465
1.1741 2.3865 2.5818
-0.1722 0.0000 5.6587
1.1741 -2.3865 2.5818
3.9396 2.3865 5.7111
5.2859 0.0000 2.6342
3.9396 -2.3865 5.7111
```

Computed properties:
- Formation energy from raw total energies: -1.485 eV per atom
- Crystal system: monoclinic



# 2
Cs4NaCe3Se8 | GGA-PBE | optimized geometry

Geometry as POSCAR:
```
Cs4NaCe3Se8
1.0
4.4137 2.5483 8.2890
-4.4137 2.5483 8.2890
0.0000 -5.0965 8.2890
Cs Na Ce Se
4 1 3 8
Cartesian
0.0000 0.0000 0.0000
-2.2069 -1.2741 8.2890
-2.2069 1.2741 16.5780
0.0000 2.5483 8.2890
0.0000 0.0000 12.4335
-4.4137 0.0000 12.4335
-2.2069 1.2741 4.1445
2.2069 1.2741 4.1445
-2.3349 -1.3480 13.9570
0.0000 0.0000 5.6995
0.0000 -2.6961 10.9099
-2.3349 1.3480 10.9099
2.3349 -1.3481 13.9571
0.0000 2.6961 13.9571
0.0000 0.0000 19.1675
2.3349 1.3481 10.9099
```

Computed properties:
- Formation energy from raw total energies: -1.535 eV per atom
- Crystal system: trigonal



# 3
Cs4NaCe3Te8 | GGA-PBE | optimized geometry

Geometry as POSCAR:
```
Cs4NaCe3Te8
1.0
4.7098 2.7192 8.8114
-4.7098 2.7192 8.8114
0.0000 -5.4384 8.8114
Cs Na Ce Te
4 1 3 8
Cartesian
0.0000 0.0000 0.0000
-2.3549 -1.3596 8.8114
-2.3549 1.3596 17.6228
0.0000 2.7192 8.8114
0.0000 0.0000 13.2171
-4.7098 0.0000 13.2171
-2.3549 1.3596 4.4057
2.3549 1.3596 4.4057
-2.4703 -1.4262 14.8778
0.0000 0.0000 6.0904
0.0000 -2.8525 11.5564
-2.4703 1.4262 11.5564
2.4703 -1.4262 14.8778
0.0000 2.8525 14.8778
0.0000 0.0000 20.3438
2.4703 1.4262 11.5564
```

Computed properties:
- Formation energy from raw total energies: -1.227 eV per atom
- Crystal system: trigonal



# 4
CsCe2NbO8 | GGA-PBE | optimized geometry

Geometry as POSCAR:
```
CsCe2NbO8
1.0
3.5113 -3.4966 0.0000
3.5113 3.4966 0.0000
-0.1871 0.0000 8.1955
Cs Ce Nb O
1 2 1 8
Cartesian
0.0000 0.0000 0.0000
3.3369 0.0000 5.8428
3.4985 0.0000 2.3527
-0.0936 0.0000 4.0978
3.3790 2.1147 2.6203
3.4564 2.1147 5.5752
1.9491 0.0000 4.0577
2.5921 0.0000 8.1879
4.2433 0.0000 0.0077
4.8864 0.0000 4.1379
3.3790 -2.1147 2.6203
3.4564 -2.1147 5.5752
```

Computed properties:
- Formation energy from raw total energies: -2.525 eV per atom
- Crystal system: monoclinic



# 5
Cs2CeNdS4 | GGA-PBE | optimized geometry

Geometry as POSCAR:
```
Cs2CeNdS4
1.0
7.3832 0.0000 0.0000
0.0000 4.2665 0.0000
-2.4605 0.0000 8.0752
Cs Ce Nd S
2 1 1 4
Cartesian
0.0000 0.0000 0.0000
3.6916 2.1332 0.0000
-1.2302 2.1332 4.0376
2.4613 0.0000 4.0376
-0.0023 0.0000 5.5334
1.2296 2.1332 2.5346
3.6931 2.1332 5.5406
4.9250 0.0000 2.5418
```

Computed properties:
- Formation energy from raw total energies: -1.780 eV per atom
- Crystal system: monoclinic



# 6
Cs3CeNd3S8 | GGA-PBE | optimized geometry

Geometry as POSCAR:
```
Cs3CeNd3S8
1.0
4.1992 2.4244 8.2058
-4.1992 2.4244 8.2058
0.0000 -4.8489 8.2058
Cs Ce Nd S
3 1 3 8
Cartesian
-2.0996 -1.2122 8.2058
-2.0996 1.2122 16.4115
0.0000 2.4244 8.2058
0.0000 0.0000 12.3086
-4.1992 0.0000 12.3086
-2.0996 1.2122 4.1029
2.0996 1.2122 4.1029
0.0000 0.0000 5.6202
-2.0286 -1.1712 13.7731
0.0000 -2.3425 10.8442
-2.0286 1.1712 10.8442
2.0286 -1.1712 13.7731
0.0000 2.3425 13.7731
2.0286 1.1712 10.8442
0.0000 0.0000 18.9970
```

Computed properties:
- Formation energy from raw total energies: -1.821 eV per atom
- Crystal system: trigonal